(1)
Computed, not measured: a relaxed structure of NdMgCdPd at the PBE level of DFT.

Values from the calculation:
**Energy relative to the elements**: -0.463 eV/atom
**Total energy**: -3.580 eV/atom
**Crystal system**: cubic

Lattice parameters (Å, degrees): 5.036 5.036 5.036 60.00 60.00 60.00
Positions (direct):
Nd 0.000 0.000 0.000
Mg 0.500 0.500 0.500
Pd 0.250 0.250 0.250
Cd 0.750 0.750 0.750

(2)
Computed, not measured: a relaxed structure of TbCuSnRu at the PBE level of DFT.

Values from the calculation:
**Energy relative to the elements**: -0.255 eV/atom
**Total energy**: -5.756 eV/atom
**Crystal system**: cubic

Lattice parameters (Å, degrees): 4.711 4.711 4.711 60.00 60.00 60.00
Positions (direct):
Ru 0.750 0.750 0.750
Tb 0.000 0.000 0.000
Cu 0.250 0.250 0.250
Sn 0.500 0.500 0.500

(3)
Computed, not measured: a relaxed structure of Mo2PtRh3 at the PBE level of DFT.

Values from the calculation:
**Energy relative to the elements**: -0.172 eV/atom
**Total energy**: -8.464 eV/atom
**Crystal system**: monoclinic

Lattice parameters (Å, degrees): 4.782 5.522 7.305 112.27 89.55 89.97
Positions (direct):
Pt 0.000 0.500 0.000
Mo 0.327 0.331 0.662
Rh 0.821 0.579 0.659
Rh 0.179 0.921 0.341
Mo 0.673 0.169 0.338
Rh 0.821 0.079 0.659
Pt 0.000 0.000 0.000
Rh 0.500 0.750 0.000
Rh 0.179 0.421 0.341
Rh 0.500 0.250 0.000
Mo 0.673 0.669 0.338
Mo 0.327 0.831 0.662

(4)
Computed, not measured: a relaxed structure of SrBe2IrN at the PBE level of DFT.

Values from the calculation:
**Formation energy without anion corrections**: 0.391 eV/atom
**Total energy**: -4.873 eV/atom
**Crystal system**: tetragonal

Lattice parameters (Å, degrees): 3.796 4.992 3.796 90.00 90.00 90.00
Positions (direct):
Ir 0.500 0.500 0.500
Be 0.000 0.000 0.500
Be 0.500 0.000 0.000
N 0.000 0.000 0.000
Sr 0.000 0.500 0.000

(5)
Computed, not measured: a relaxed structure of LaHfNb3 at the PBE level of DFT.

Values from the calculation:
**Energy relative to the elements**: 1.147 eV/atom
**Total energy**: -7.871 eV/atom
**Crystal system**: cubic

Lattice parameters (Å, degrees): 5.054 5.054 5.054 90.00 90.00 90.00
Positions (direct):
La 0.500 0.500 0.500
Nb 0.000 0.000 0.500
Nb 0.000 0.500 0.000
Hf 0.000 0.000 0.000
Nb 0.500 0.000 0.000

(6)
Computed, not measured: a relaxed structure of NbSnRu at the PBE level of DFT.

Values from the calculation:
**Energy relative to the elements**: 0.614 eV/atom
**Total energy**: -7.169 eV/atom
**Crystal system**: cubic

Lattice parameters (Å, degrees): 4.437 4.437 4.437 60.00 60.00 60.00
Positions (direct):
Nb 0.000 0.000 0.000
Sn 0.750 0.750 0.750
Ru 0.500 0.500 0.500

What is the formula in the sixth record? NbSnRu

total energy of number 5 (LaHfNb3)? -7.871 eV/atom

Which of these has the lowest total energy? Mo2PtRh3